Entry w
## Y3HoPd2 (GGA-PBE)

Data for a relaxed structure of Y3HoPd2.

Cell: 8.4639 8.4639 8.4639 Å, 131.79 71.96 130.03°
With the nearest neighbours (Å) after each atom.
Positions (direct):
Y1 0.0164 0.7500 0.2664  4 Pd 2.89-2.98
Y2 0.2500 0.2500 0.0000  4 Pd 2.99
Y3 0.4836 0.7500 0.7336  4 Pd 2.89-2.98
Y4 0.5164 0.2500 0.2664  4 Pd 2.89-2.98
Y5 0.7500 0.7500 0.0000  4 Pd 2.99
Y6 0.9836 0.2500 0.7336  4 Pd 2.89-2.98
Ho1 0.0000 0.5000 0.5000  2 Pd 2.76
Ho2 0.5000 0.0000 0.5000  2 Pd 2.76
Pd1 0.1394 0.2109 0.3502  1 Ho 2.76, 6 Y 2.89-2.99
Pd2 0.3606 0.7109 0.0715  1 Ho 2.76, 6 Y 2.89-2.99
Pd3 0.6394 0.2891 0.9285  1 Ho 2.76, 6 Y 2.89-2.99
Pd4 0.8606 0.7891 0.6498  1 Ho 2.76, 6 Y 2.89-2.99

Values from the calculation:
- Magnetization: 0.00 μB per cell
- Space-group type: Ibam (72)

Entry x
## Y3HoPd2 (GGA-PBE)

Data for a relaxed structure of Y3HoPd2.

Cell: 3.7577 9.8370 8.5491 Å, 90.00 90.00 90.00°
With the nearest neighbours (Å) after each atom.
Positions (direct):
Y1 0.0000 0.0651 0.0000  4 Pd 3.00-3.01
Y2 0.0000 0.2833 0.3375  3 Pd 2.87-2.92
Y3 0.0000 0.7167 0.8375  3 Pd 2.87-2.92
Y4 0.0000 0.9349 0.5000  4 Pd 3.00-3.01
Y5 0.5000 0.2175 0.6799  3 Pd 2.88-2.94
Y6 0.5000 0.7825 0.1799  3 Pd 2.88-2.94
Ho1 0.5000 0.4371 0.0172  4 Pd 2.99-3.00
Ho2 0.5000 0.5629 0.5172  4 Pd 2.99-3.00
Pd1 0.0000 0.4315 0.7446  3 Y 2.88-2.92, 4 Ho 2.99-3.00
Pd2 0.0000 0.5685 0.2446  3 Y 2.88-2.92, 4 Ho 2.99-3.00
Pd3 0.5000 0.0699 0.2738  7 Y 2.87-3.01
Pd4 0.5000 0.9301 0.7738  7 Y 2.87-3.01

Values from the calculation:
- Magnetization: 0.81 μB per cell
- Space-group type: Pmc2_1 (26)

Stability, highest: entry x

Entry w
## Y2HoPd (GGA-PBE)

Data for a relaxed structure of Y2HoPd.

Cell: 7.0171 9.7131 6.4976 Å, 90.00 90.00 90.00°
With the nearest neighbours (Å) after each atom.
Positions (direct):
Y1 0.1817 0.0594 0.1779  2 Pd 2.88-2.95
Y2 0.1817 0.4406 0.1779  2 Pd 2.88-2.95
Y3 0.3183 0.5594 0.6779  2 Pd 2.88-2.95
Y4 0.3183 0.9406 0.6779  2 Pd 2.88-2.95
Y5 0.6817 0.0594 0.3221  2 Pd 2.88-2.95
Y6 0.6817 0.4406 0.3221  2 Pd 2.88-2.95
Y7 0.8183 0.5594 0.8221  2 Pd 2.88-2.95
Y8 0.8183 0.9406 0.8221  2 Pd 2.88-2.95
Ho1 0.0248 0.2500 0.6322  2 Pd 2.82-2.87
Ho2 0.4752 0.7500 0.1322  2 Pd 2.82-2.87
Ho3 0.5248 0.2500 0.8678  2 Pd 2.82-2.87
Ho4 0.9752 0.7500 0.3678  2 Pd 2.82-2.87
Pd1 0.1096 0.7500 0.9506  2 Ho 2.82-2.87, 4 Y 2.88-2.95
Pd2 0.3904 0.2500 0.4506  2 Ho 2.82-2.87, 4 Y 2.88-2.95
Pd3 0.6096 0.7500 0.5494  2 Ho 2.82-2.87, 4 Y 2.88-2.95
Pd4 0.8904 0.2500 0.0494  2 Ho 2.82-2.87, 4 Y 2.88-2.95

Values from the calculation:
- Magnetization: 0.00 μB per cell
- Space-group type: Pnma (62)

Entry x
## Y2HoPd (GGA-PBE)

Data for a relaxed structure of Y2HoPd.

Cell: 9.8090 9.8090 9.8090 Å, 21.89 21.89 21.89°
With the nearest neighbours (Å) after each atom.
Positions (direct):
Y1 0.0000 0.0000 0.0000  3 Pd 2.87
Y2 0.2011 0.2011 0.2011  3 Pd 2.87
Ho1 0.4350 0.4350 0.4350  6 Y 3.57-3.62, 6 Ho 3.72
Pd1 0.6004 0.6004 0.6004  6 Y 2.87

Values from the calculation:
- Magnetization: 0.40 μB per cell
- Space-group type: R3m (160)

Entry y
## Y2HoPd (GGA-PBE)

Data for a relaxed structure of Y2HoPd.

Cell: 3.5839 3.5839 8.4140 Å, 90.00 90.00 90.00°
With the nearest neighbours (Å) after each atom.
Positions (direct):
Y1 0.0000 0.0000 0.2004  4 Pd 3.04, 1 Y 3.37
Y2 0.0000 0.0000 0.7996  4 Pd 3.04, 1 Y 3.37
Ho1 0.5000 0.5000 0.5000  8 Y 3.57, 4 Ho 3.58
Pd1 0.5000 0.5000 0.0000  8 Y 3.04

Values from the calculation:
- Magnetization: 0.00 μB per cell
- Space-group type: P4/mmm (123)

Stability, highest: entry w

Entry w
## YHoPd2 (GGA-PBE)

Data for a relaxed structure of YHoPd2.

Cell: 7.0199 7.0199 7.0199 Å, 33.90 33.90 33.90°
With the nearest neighbours (Å) after each atom.
Positions (direct):
Y1 0.0000 0.0000 0.0000  6 Pd 2.90
Ho1 0.5000 0.5000 0.5000  6 Pd 2.86
Pd1 0.2482 0.2482 0.2482  3 Ho 2.86, 3 Y 2.90
Pd2 0.7518 0.7518 0.7518  3 Ho 2.86, 3 Y 2.90

Values from the calculation:
- Magnetization: 0.00 μB per cell
- Space-group type: R-3m (166)

Entry x
## YHoPd2 (GGA-PBE)

Data for a relaxed structure of YHoPd2.

Cell: 5.0042 5.0042 3.4349 Å, 90.00 90.00 90.00°
With the nearest neighbours (Å) after each atom.
Positions (direct):
Y1 0.0000 0.0000 0.0000  8 Pd 3.03
Ho1 0.5000 0.5000 0.0000  8 Pd 3.03
Pd1 0.0000 0.5000 0.5000  4 Ho 3.03, 4 Y 3.03
Pd2 0.5000 0.0000 0.5000  4 Ho 3.03, 4 Y 3.03

Values from the calculation:
- Magnetization: 0.00 μB per cell
- Space-group type: P4/mmm (123)

Entry y
## YHoPd2 (GGA-PBE)

Data for a relaxed structure of YHoPd2.

Cell: 4.5269 5.6043 5.6043 Å, 39.17 90.00 90.00°
With the nearest neighbours (Å) after each atom.
Positions (direct):
Y1 0.0000 0.0000 0.0000  7 Pd 2.91-3.03
Ho1 0.5000 0.7245 0.7245  7 Pd 2.93-3.01
Pd1 0.0000 0.2754 0.2754  2 Pd 2.90, 3 Y 2.91-3.03, 4 Ho 2.99
Pd2 0.5000 0.4472 0.4472  2 Pd 2.90, 3 Ho 2.93-3.01, 4 Y 2.99

Values from the calculation:
- Magnetization: 0.00 μB per cell
- Space-group type: Amm2 (38)

Stability, highest: entry y

Entry w
## YHo2Pd3 (GGA-PBE)

Data for a relaxed structure of YHo2Pd3.

Cell: 7.9043 7.9043 3.4296 Å, 90.00 90.00 143.13°
With the nearest neighbours (Å) after each atom.
Positions (direct):
Y1 0.0000 0.0000 0.0000  8 Pd 3.03-3.06
Ho1 0.3336 0.6664 0.0000  8 Pd 3.00-3.03
Ho2 0.6664 0.3336 0.0000  8 Pd 3.00-3.03
Pd1 0.1692 0.8308 0.5000  6 Ho 3.00-3.03, 2 Y 3.06
Pd2 0.5000 0.5000 0.5000  4 Ho 3.03, 4 Y 3.03
Pd3 0.8308 0.1692 0.5000  6 Ho 3.00-3.03, 2 Y 3.06

Values from the calculation:
- Magnetization: 0.00 μB per cell
- Space-group type: Cmmm (65)

Entry x
## YHo2Pd3 (GGA-PBE)

Data for a relaxed structure of YHo2Pd3.

Cell: 3.5018 3.5018 10.5036 Å, 90.00 90.00 90.00°
With the nearest neighbours (Å) after each atom.
Positions (direct):
Y1 0.0000 0.0000 0.0000  8 Pd 3.06
Ho1 0.0000 0.0000 0.3341  8 Pd 3.01-3.03
Ho2 0.0000 0.0000 0.6659  8 Pd 3.01-3.03
Pd1 0.5000 0.5000 0.1709  4 Ho 3.01, 4 Y 3.06
Pd2 0.5000 0.5000 0.5000  8 Ho 3.03
Pd3 0.5000 0.5000 0.8291  4 Ho 3.01, 4 Y 3.06

Values from the calculation:
- Magnetization: 0.00 μB per cell
- Space-group type: P4/mmm (123)

Stability, highest: entry w

Entry w
## YHo2Pd2 (GGA-PBE)

Data for a relaxed structure of YHo2Pd2.

Cell: 7.8105 7.8105 3.9187 Å, 90.00 90.00 90.00°
With the nearest neighbours (Å) after each atom.
Positions (direct):
Y1 0.0000 0.0000 0.0000  4 Pd 3.05
Y2 0.5000 0.5000 0.0000  4 Pd 3.05
Ho1 0.1641 0.3359 0.5000  6 Pd 2.98-3.04
Ho2 0.3359 0.8359 0.5000  6 Pd 2.98-3.04
Ho3 0.6641 0.1641 0.5000  6 Pd 2.98-3.04
Ho4 0.8359 0.6641 0.5000  6 Pd 2.98-3.04
Pd1 0.1323 0.6323 0.0000  1 Pd 2.92, 6 Ho 2.98-3.04, 2 Y 3.05
Pd2 0.3677 0.1323 0.0000  1 Pd 2.92, 6 Ho 2.98-3.04, 2 Y 3.05
Pd3 0.6323 0.8677 0.0000  1 Pd 2.92, 6 Ho 2.98-3.04, 2 Y 3.05
Pd4 0.8677 0.3677 0.0000  1 Pd 2.92, 6 Ho 2.98-3.04, 2 Y 3.05

Values from the calculation:
- Magnetization: 0.00 μB per cell
- Space-group type: P4/mbm (127)

Entry x
## YHo2Pd2 (GGA-PBE)

Data for a relaxed structure of YHo2Pd2.

Cell: 4.6211 4.6211 6.6117 Å, 108.05 108.05 90.11°
With the nearest neighbours (Å) after each atom.
Positions (direct):
Y1 0.0000 0.0000 0.0000  8 Pd 3.33-3.70, 4 Ho 3.69
Ho1 0.2513 0.7487 0.5000  4 Pd 2.85
Ho2 0.7487 0.2513 0.5000  4 Pd 2.85
Pd1 0.3729 0.3729 0.7810  1 Pd 2.63, 4 Ho 2.85
Pd2 0.6271 0.6271 0.2190  1 Pd 2.63, 4 Ho 2.85

Values from the calculation:
- Magnetization: 0.00 μB per cell
- Space-group type: C2/m (12)

Stability, highest: entry w

Entry w
## Y4HoPd2 (GGA-PBE)

Data for a relaxed structure of Y4HoPd2.

Cell: 9.1116 9.1116 9.1116 Å, 33.14 33.14 33.14°
With the nearest neighbours (Å) after each atom.
Positions (direct):
Y1 0.1120 0.1120 0.1120  3 Pd 3.25, 3 Ho 3.32, 3 Y 3.50
Y2 0.2908 0.2908 0.2908  4 Pd 2.75-3.05
Y3 0.7092 0.7092 0.7092  4 Pd 2.75-3.05
Y4 0.8880 0.8880 0.8880  3 Pd 3.25, 3 Ho 3.32, 3 Y 3.50
Ho1 0.5000 0.5000 0.5000  2 Pd 2.65
Pd1 0.3972 0.3972 0.3972  1 Ho 2.65, 1 Y 2.75
Pd2 0.6028 0.6028 0.6028  1 Ho 2.65, 1 Y 2.75

Values from the calculation:
- Magnetization: 0.00 μB per cell
- Space-group type: R-3m (166)

Entry x
## Y4HoPd2 (GGA-PBE)

Data for a relaxed structure of Y4HoPd2.

Cell: 7.9227 7.9227 6.4156 Å, 90.00 90.00 109.92°
With the nearest neighbours (Å) after each atom.
Positions (direct):
Y1 0.0546 0.5753 0.7500  1 Pd 2.80
Y2 0.2999 0.2999 0.0000  4 Pd 3.03-3.28, 2 Y 3.21
Y3 0.2999 0.2999 0.5000  4 Pd 3.03-3.28, 2 Y 3.21
Y4 0.4247 0.9454 0.7500  1 Pd 2.80
Y5 0.5753 0.0546 0.2500  1 Pd 2.80
Y6 0.7001 0.7001 0.0000  4 Pd 3.03-3.28, 2 Y 3.21
Y7 0.7001 0.7001 0.5000  4 Pd 3.03-3.28, 2 Y 3.21
Y8 0.9454 0.4247 0.2500  1 Pd 2.80
Ho1 0.1418 0.8582 0.2500  2 Pd 2.71-2.82
Ho2 0.8582 0.1418 0.7500  2 Pd 2.71-2.82
Pd1 0.0674 0.9326 0.7500  1 Ho 2.71, 2 Y 2.80
Pd2 0.3596 0.6404 0.2500  1 Ho 2.82, 6 Y 3.03-3.14
Pd3 0.6404 0.3596 0.7500  1 Ho 2.82, 6 Y 3.03-3.14
Pd4 0.9326 0.0674 0.2500  1 Ho 2.71, 2 Y 2.80

Values from the calculation:
- Magnetization: 0.00 μB per cell
- Space-group type: Cmcm (63)

Stability, highest: entry x